Record 1
Entry from Alexandria via LeMat-Bulk: a relaxed structure of ScFe2Os (PBE).

a b c (Å): 2.708 3.915 5.343
angles (deg): 90.00 90.00 90.00
Each line ends with the local moment (μB).
Fractional positions:
Fe 0.000 0.000 0.027  1.82
Fe 0.000 0.000 0.473  1.82
Os 0.500 0.500 0.250  -0.14
Sc 0.500 0.500 0.750  -0.19

Computed properties:
The value obtained for the formation energy is 47.9 kJ/mol of formula units. The calculation puts the total magnetization at 3.3 μB per cell. Its energy above the most stable polymorph in this dataset is 0.131 eV/atom. As for the total energy: -34.0 eV per cell. The calculation puts the density of states at the Fermi level at 5.2 states/eV/f.u.


Record 2
Entry from Alexandria via LeMat-Bulk: a relaxed structure of As2IrSe (PBE).

a b c (Å): 4.783 4.783 3.024
angles (deg): 90.00 90.00 90.00
Fractional positions:
As 0.000 0.000 0.000
As 0.500 0.500 0.000
Ir 0.500 0.000 0.500
Se 0.000 0.500 0.500

Computed properties:
The calculation puts the total magnetization at 0.0 μB per cell. As for the total energy: -19.7 eV per cell. The calculation puts the density of states at the Fermi level at 1.6 states/eV/f.u. Its formation energy from raw total energies is 1.98 eV per formula unit.


Record 3
Entry from Alexandria via LeMat-Bulk: a relaxed structure of Cr4Br5 (PBE).

a b c (Å): 8.172 8.172 7.420
angles (deg): 90.00 90.00 120.00
Each line ends with the local moment (μB).
Fractional positions:
Cr 0.000 0.000 0.000  4.05
Cr 0.000 0.000 0.500  4.05
Cr 0.573 0.000 0.250  4.21
Cr 0.000 0.573 0.250  4.21
Cr 0.427 0.427 0.250  4.21
Cr 0.427 0.000 0.750  4.21
Cr 0.000 0.427 0.750  4.21
Cr 0.573 0.573 0.750  4.21
Br 0.247 0.000 0.250  0.01
Br 0.000 0.247 0.250  0.01
Br 0.753 0.753 0.250  0.01
Br 0.753 0.000 0.750  0.01
Br 0.000 0.753 0.750  0.01
Br 0.247 0.247 0.750  0.01
Br 0.333 0.667 0.000  0.01
Br 0.667 0.333 0.500  0.01
Br 0.667 0.333 0.000  0.01
Br 0.333 0.667 0.500  0.01

Computed properties:
The calculation puts the total magnetization at 38.0 μB per cell. As for the total energy: -93.5 eV per cell. The calculation puts the density of states at the Fermi level at 4.6 states/eV/f.u. Its formation energy from raw total energies is 0.11 eV per formula unit.


Record 4
Entry from Alexandria via LeMat-Bulk: a relaxed structure of Zn2NiAs (PBE).

a b c (Å): 5.559 5.559 2.851
angles (deg): 73.03 73.03 121.98
Fractional positions:
As 0.500 0.000 0.500
Ni 0.000 0.500 0.500
Zn 0.000 0.000 0.000
Zn 0.500 0.500 0.000

Computed properties:
The value obtained for the formation energy is 19.6 kJ/mol of formula units. The calculation puts the total magnetization at 0.0 μB per cell. As for the total energy: -12.8 eV per cell. The calculation puts the density of states at the Fermi level at 2.1 states/eV/f.u.


Record 5
Entry from Alexandria via LeMat-Bulk: a relaxed structure of PrDy2Tm3 (PBE).

a b c (Å): 6.595 6.595 8.911
angles (deg): 98.44 98.44 94.77
Fractional positions:
Pr 0.092 0.908 0.250
Pr 0.908 0.092 0.750
Dy 0.871 0.376 0.125
Dy 0.624 0.129 0.375
Dy 0.129 0.624 0.875
Dy 0.376 0.871 0.625
Tm 0.163 0.330 0.495
Tm 0.670 0.837 0.005
Tm 0.837 0.670 0.505
Tm 0.330 0.163 0.995
Tm 0.425 0.575 0.250
Tm 0.575 0.425 0.750

Computed properties:
The value obtained for the formation energy is 41.4 kJ/mol of formula units. The calculation puts the total magnetization at 0.0 μB per cell. Its energy above the most stable polymorph in this dataset is 0.000 eV/atom. As for the total energy: -53.9 eV per cell. The calculation puts the density of states at the Fermi level at 10.0 states/eV/f.u.


Record 6
Entry from Alexandria via LeMat-Bulk: a relaxed structure of Zr2TaCdC (PBE).

a b c (Å): 4.620 4.620 4.274
angles (deg): 90.00 90.00 90.00
Fractional positions:
C 0.000 0.000 0.000
Cd 0.500 0.500 0.500
Zr 0.000 0.500 0.000
Zr 0.500 0.000 0.000
Ta 0.000 0.000 0.500

Computed properties:
The value obtained for the formation energy is -147.4 kJ/mol of formula units. The calculation puts the total magnetization at 0.0 μB per cell. As for the total energy: -40.6 eV per cell. The calculation puts the density of states at the Fermi level at 3.5 states/eV/f.u.


Record 7
Entry from Alexandria via LeMat-Bulk: a relaxed structure of LiCa2Tl3 (PBE).

a b c (Å): 5.260 8.396 7.723
angles (deg): 90.00 90.00 70.73
Fractional positions:
Li 0.338 0.323 0.000
Li 0.662 0.677 0.000
Ca 0.000 0.000 0.000
Ca 0.000 0.000 0.500
Ca 0.335 0.331 0.500
Ca 0.665 0.669 0.500
Tl 0.826 0.349 0.780
Tl 0.500 0.000 0.235
Tl 0.174 0.651 0.220
Tl 0.826 0.349 0.220
Tl 0.174 0.651 0.780
Tl 0.500 0.000 0.765

Computed properties:
The value obtained for the formation energy is -200.8 kJ/mol of formula units. The calculation puts the total magnetization at 0.0 μB per cell. Its energy above the most stable polymorph in this dataset is 0.000 eV/atom. As for the total energy: -30.2 eV per cell. The calculation puts the density of states at the Fermi level at 3.2 states/eV/f.u.


Record 8
Entry from Alexandria via LeMat-Bulk: a relaxed structure of CsAsCl3 (PBE).

a b c (Å): 5.254 5.254 5.254
angles (deg): 90.00 90.00 90.00
Fractional positions:
Cs 0.500 0.500 0.500
As 0.000 0.000 0.000
Cl 0.000 0.500 0.000
Cl 0.000 0.000 0.500
Cl 0.500 0.000 0.000

Computed properties:
The calculation puts the total magnetization at 0.0 μB per cell. Its energy above the most stable polymorph in this dataset is 0.108 eV/atom. As for the total energy: -16.2 eV per cell. The calculation puts the density of states at the Fermi level at 2.0 states/eV/f.u. Its formation energy from raw total energies is -5.15 eV per formula unit.


Record 9
Entry from Alexandria via LeMat-Bulk: a relaxed structure of AlFeRu2 (PBE).

a b c (Å): 4.945 4.945 4.945
angles (deg): 145.55 125.82 65.80
Each line ends with the local moment (μB).
Fractional positions:
Ru 0.003 0.003 0.000  0.55
Ru 0.497 0.497 0.000  0.55
Fe 0.250 0.750 0.500  2.63
Al 0.750 0.250 0.500  -0.02

Computed properties:
The value obtained for the formation energy is -27.9 kJ/mol of formula units. The calculation puts the total magnetization at 3.7 μB per cell. As for the total energy: -31.0 eV per cell. The calculation puts the density of states at the Fermi level at 4.5 states/eV/f.u.


Record 10
Entry from Alexandria via LeMat-Bulk: a relaxed structure of Zn5Ag3 (PBE).

a b c (Å): 7.503 7.503 7.736
angles (deg): 96.21 96.21 140.56
Fractional positions:
Ag 0.171 0.327 0.499
Ag 0.279 0.221 0.002
Ag 0.385 0.885 0.149
Ag 0.617 0.117 0.850
Ag 0.721 0.779 0.002
Ag 0.827 0.671 0.499
Zn 0.010 0.702 0.838
Zn 0.240 0.075 0.314
Zn 0.242 0.742 0.480
Zn 0.202 0.510 0.838
Zn 0.425 0.264 0.689
Zn 0.575 0.740 0.314
Zn 0.800 0.492 0.161
Zn 0.758 0.258 0.521
Zn 0.764 0.925 0.689
Zn 0.992 0.300 0.161

Computed properties:
The value obtained for the formation energy is 20.4 kJ/mol of formula units. The calculation puts the total magnetization at 0.0 μB per cell. Its energy above the most stable polymorph in this dataset is 0.036 eV/atom. As for the total energy: -29.4 eV per cell. The calculation puts the density of states at the Fermi level at 1.2 states/eV/f.u.


Record 11
Entry from Alexandria via LeMat-Bulk: a relaxed structure of KZn4AsP2 (PBE).

a b c (Å): 4.097 4.097 10.169
angles (deg): 90.00 90.00 90.00
Fractional positions:
K 0.000 0.000 0.500
Zn 0.000 0.500 0.166
Zn 0.500 0.000 0.834
Zn 0.500 0.000 0.166
Zn 0.000 0.500 0.834
As 0.000 0.000 0.000
P 0.500 0.500 0.294
P 0.500 0.500 0.706

Computed properties:
The value obtained for the formation energy is -215.6 kJ/mol of formula units. The calculation puts the total magnetization at 0.0 μB per cell. As for the total energy: -23.9 eV per cell. The calculation puts the density of states at the Fermi level at 0.5 states/eV/f.u.


Record 12
Entry from Alexandria via LeMat-Bulk: a relaxed structure of NdHo2Cd5 (PBE).

a b c (Å): 5.187 5.187 8.348
angles (deg): 108.10 108.10 90.00
Fractional positions:
Nd 0.000 0.000 0.000
Ho 0.737 0.737 0.475
Ho 0.263 0.263 0.525
Cd 0.500 0.500 0.000
Cd 0.876 0.376 0.752
Cd 0.376 0.876 0.752
Cd 0.124 0.624 0.248
Cd 0.624 0.124 0.248

Computed properties:
The value obtained for the formation energy is -240.4 kJ/mol of formula units. The calculation puts the total magnetization at 0.0 μB per cell. As for the total energy: -21.0 eV per cell. The calculation puts the density of states at the Fermi level at 3.7 states/eV/f.u.